## NaSr2Ac3S6 (PBE)

Data for crystalline NaSr2Ac3S6 at its relaxed geometry.

Values from the calculation:
Uncorrected formation energy = -1.966 eV per atom

abc: 7.4149 7.4149 7.4285
angles: 99.57 99.57 119.95
Last column: nearest neighbours and their distance in Å.
Atoms (fractional coordinates):
Ac1 0.5000 0.5000 0.5000  6 S 3.03-3.04
Ac2 0.1656 0.8344 0.5000  6 S 3.03-3.04
Ac3 0.8344 0.1656 0.5000  6 S 3.03-3.04
S1 0.7497 0.7497 0.2479  1 Na 3.02, 2 Sr 3.02, 3 Ac 3.03-3.04
S2 0.5836 0.9168 0.7504  2 Sr 3.03, 1 Na 3.03, 3 Ac 3.03-3.04
S3 0.4164 0.0832 0.2496  2 Sr 3.03, 1 Na 3.03, 3 Ac 3.03-3.04
S4 0.9168 0.5836 0.7504  2 Sr 3.03, 1 Na 3.03, 3 Ac 3.03-3.04
S5 0.2503 0.2503 0.7521  1 Na 3.02, 2 Sr 3.02, 3 Ac 3.03-3.04
S6 0.0832 0.4164 0.2496  2 Sr 3.03, 1 Na 3.03, 3 Ac 3.03-3.04
Sr1 0.6668 0.3332 0.0000  6 S 3.02-3.03
Sr2 0.3332 0.6668 0.0000  6 S 3.02-3.03
Na1 0.0000 0.0000 0.0000  6 S 3.02-3.03

## NaSr2AcS4 (PBE)

Data for crystalline NaSr2AcS4 at its relaxed geometry.

Values from the calculation:
Uncorrected formation energy = -1.965 eV per atom

abc: 4.3189 7.3193 7.4055
angles: 108.76 90.00 90.00
Last column: nearest neighbours and their distance in Å.
Atoms (fractional coordinates):
Ac1 0.0000 0.0000 0.0000  6 S 2.97-3.02
S1 0.0000 0.7581 0.2534  1 Ac 2.97, 3 Sr 3.01-3.02, 2 Na 3.08
S2 0.5000 0.7528 0.7542  1 Na 2.98, 3 Sr 3.00-3.06, 2 Ac 3.02
S3 0.5000 0.2472 0.2458  1 Na 2.98, 3 Sr 3.00-3.06, 2 Ac 3.02
S4 0.0000 0.2419 0.7466  1 Ac 2.97, 3 Sr 3.01-3.02, 2 Na 3.08
Sr1 0.5000 0.0000 0.5000  6 S 3.00-3.01
Sr2 0.0000 0.5000 0.5000  6 S 3.02-3.06
Na1 0.5000 0.5000 0.0000  6 S 2.98-3.08

## NaSr3Ac2S6 (PBE)

Data for crystalline NaSr3Ac2S6 at its relaxed geometry.

Values from the calculation:
Uncorrected formation energy = -1.992 eV per atom

abc: 4.2924 8.5788 9.5708
angles: 103.26 102.96 90.00
Last column: nearest neighbours and their distance in Å.
Atoms (fractional coordinates):
S1 0.0016 0.2543 0.0032  1 Ac 2.92, 3 Sr 2.97-3.01, 2 Na 3.06
S2 0.6692 0.0845 0.3385  2 Ac 3.00, 3 Sr 3.01-3.05, 1 Na 3.07
S3 0.3308 0.9155 0.6615  2 Ac 3.00, 3 Sr 3.01-3.05, 1 Na 3.07
S4 0.6679 0.5826 0.3358  3 Sr 3.04-3.07, 3 Ac 3.06-3.07
S5 0.3321 0.4174 0.6642  3 Sr 3.04-3.07, 3 Ac 3.06-3.07
S6 0.9984 0.7457 0.9968  1 Ac 2.92, 3 Sr 2.97-3.01, 2 Na 3.06
Sr1 0.8376 0.1650 0.6751  6 S 2.97-3.07
Sr2 0.1624 0.8350 0.3249  6 S 2.97-3.07
Sr3 0.5000 0.5000 0.0000  6 S 3.01-3.04
Ac1 0.1627 0.3253 0.3255  6 S 2.92-3.07
Ac2 0.8373 0.6747 0.6745  6 S 2.92-3.07
Na1 0.5000 0.0000 0.0000  6 S 3.06-3.07

## Na3AcTb2S6 (PBE)

Data for crystalline Na3AcTb2S6 at its relaxed geometry.

Values from the calculation:
Uncorrected formation energy = -1.822 eV per atom

abc: 7.1558 7.1558 7.1111
angles: 99.67 99.67 120.03
Last column: nearest neighbours and their distance in Å.
Atoms (fractional coordinates):
Na1 0.5000 0.5000 0.5000  6 S 2.88-3.05
Na2 0.8322 0.1678 0.5000  6 S 2.88-3.05
Na3 0.1678 0.8322 0.5000  6 S 2.88-3.05
S1 0.2742 0.2742 0.7672  2 Tb 2.80, 3 Na 2.88-3.05, 1 Ac 2.96
S2 0.4286 0.0768 0.2299  2 Tb 2.78-2.79, 3 Na 2.88-3.05, 1 Ac 2.95
S3 0.5714 0.9232 0.7701  2 Tb 2.78-2.79, 3 Na 2.88-3.05, 1 Ac 2.95
S4 0.7258 0.7258 0.2328  2 Tb 2.80, 3 Na 2.88-3.05, 1 Ac 2.96
S5 0.9232 0.5714 0.7701  2 Tb 2.78-2.79, 3 Na 2.88-3.05, 1 Ac 2.95
S6 0.0768 0.4286 0.2299  2 Tb 2.78-2.79, 3 Na 2.88-3.05, 1 Ac 2.95
Ac1 0.0000 0.0000 0.0000  6 S 2.95-2.96
Tb1 0.3332 0.6668 0.0000  6 S 2.78-2.80
Tb2 0.6668 0.3332 0.0000  6 S 2.78-2.80

## NaAc2TbS4 (PBE)

Data for crystalline NaAc2TbS4 at its relaxed geometry.

Values from the calculation:
Uncorrected formation energy = -1.883 eV per atom

abc: 4.1693 7.1388 7.2611
angles: 70.47 90.00 90.00
Last column: nearest neighbours and their distance in Å.
Atoms (fractional coordinates):
S1 0.0000 0.7330 0.7483  1 Tb 2.83, 2 Na 2.90, 3 Ac 2.99-3.05
S2 0.5000 0.2737 0.7381  2 Tb 2.84, 1 Na 2.88, 3 Ac 3.01-3.05
S3 0.5000 0.7263 0.2619  2 Tb 2.84, 1 Na 2.88, 3 Ac 3.01-3.05
S4 0.0000 0.2670 0.2517  1 Tb 2.83, 2 Na 2.90, 3 Ac 2.99-3.05
Ac1 0.0000 0.0000 0.0000  6 S 3.05
Ac2 0.5000 0.0000 0.5000  6 S 2.99-3.01
Tb1 0.0000 0.5000 0.5000  6 S 2.83-2.84
Na1 0.5000 0.5000 0.0000  6 S 2.88-2.90

## Na3Ac3TcS8 (PBE)

Data for crystalline Na3Ac3TcS8 at its relaxed geometry.

Values from the calculation:
Uncorrected formation energy = -1.444 eV per atom

abc: 8.4111 8.4107 8.2952
angles: 120.49 90.00 120.00
Last column: nearest neighbours and their distance in Å.
Atoms (fractional coordinates):
S1 0.2119 0.9989 0.2861  1 Tc 2.52
S2 0.7881 0.0011 0.7139  1 Tc 2.52
S3 0.7489 0.4978 0.7466  3 Ac 2.94, 3 Na 2.96-2.97
S4 0.2511 0.5022 0.2534  3 Ac 2.94, 3 Na 2.96-2.97
S5 0.7870 0.5739 0.2861  1 Tc 2.52
S6 0.7870 0.9989 0.2861  1 Tc 2.52
S7 0.2130 0.0011 0.7139  1 Tc 2.52
S8 0.2130 0.4261 0.7139  1 Tc 2.52
Ac1 0.0000 0.5000 0.5000  6 S 2.94-3.00
Ac2 0.5000 0.5000 0.5000  6 S 2.94-3.00
Ac3 0.5000 0.0000 0.5000  6 S 2.94-3.00
Na1 0.0000 0.0000 0.0000  6 S 2.96-2.97
Na2 0.0000 0.5000 0.0000  6 S 2.97
Na3 0.5000 0.5000 0.0000  6 S 2.97
Tc1 0.0000 0.0000 0.5000  6 S 2.52

## Na3Ac2ThS6 (PBE)

Data for crystalline Na3Ac2ThS6 at its relaxed geometry.

Values from the calculation:
Uncorrected formation energy = -1.729 eV per atom

abc: 4.2348 8.3812 9.3617
angles: 101.23 103.07 90.00
Last column: nearest neighbours and their distance in Å.
Atoms (fractional coordinates):
Ac1 0.1664 0.3310 0.3328  6 S 2.98-3.01
Ac2 0.8336 0.6690 0.6672  6 S 2.98-3.01
S1 0.6583 0.0734 0.3166  1 Th 2.83, 3 Na 2.96-3.15, 2 Ac 3.01
S2 0.9992 0.2295 0.9983  2 Th 2.86, 3 Na 2.94-3.10, 1 Ac 3.00
S3 0.6661 0.5811 0.3322  3 Na 2.97, 3 Ac 2.98-3.00
S4 0.3339 0.4189 0.6678  3 Na 2.97, 3 Ac 2.98-3.00
S5 0.3417 0.9266 0.6834  1 Th 2.83, 3 Na 2.96-3.15, 2 Ac 3.01
S6 0.0008 0.7705 0.0017  2 Th 2.86, 3 Na 2.94-3.10, 1 Ac 3.00
Na1 0.5000 0.5000 0.0000  6 S 2.97-3.10
Na2 0.8345 0.1699 0.6690  6 S 2.94-3.15
Na3 0.1655 0.8301 0.3310  6 S 2.94-3.15
Th1 0.5000 0.0000 0.0000  6 S 2.83-2.86

## Na3Ac2TiS6 (PBE)

Data for crystalline Na3Ac2TiS6 at its relaxed geometry.

Values from the calculation:
Uncorrected formation energy = -1.577 eV per atom

abc: 7.1590 7.1590 7.1141
angles: 99.56 99.56 119.77
Last column: nearest neighbours and their distance in Å.
Atoms (fractional coordinates):
S1 0.0796 0.3751 0.2327  1 Ti 2.64, 2 Na 2.89, 1 Ac 2.96
S2 0.9204 0.6249 0.7673  1 Ti 2.64, 2 Na 2.89, 1 Ac 2.96
S3 0.6249 0.9204 0.7673  1 Ti 2.64, 2 Na 2.89, 1 Ac 2.96
S4 0.3751 0.0796 0.2327  1 Ti 2.64, 2 Na 2.89, 1 Ac 2.96
S5 0.7818 0.7818 0.2166  1 Ti 2.54
S6 0.2182 0.2182 0.7834  1 Ti 2.54
Ac1 0.3303 0.6696 0.0000  6 S 2.96-2.97
Ac2 0.6696 0.3303 0.0000  6 S 2.96-2.97
Na1 0.8415 0.1585 0.5000  4 S 2.88-2.89
Na2 0.5000 0.5000 0.5000  4 S 2.89
Na3 0.1585 0.8415 0.5000  4 S 2.88-2.89
Ti1 0.0000 0.0000 0.0000  6 S 2.54-2.64

## Na4Ac3TiS8 (PBE)

Data for crystalline Na4Ac3TiS8 at its relaxed geometry.

Values from the calculation:
Uncorrected formation energy = -1.610 eV per atom

abc: 8.3790 8.2959 8.3764
angles: 120.34 120.01 90.00
Last column: nearest neighbours and their distance in Å.
Atoms (fractional coordinates):
Na1 0.5000 0.0000 0.5000  6 S 2.95
Na2 0.0000 0.0000 0.0000  6 S 2.95-2.96
Na3 0.5000 0.0000 0.0000  6 S 3.25-3.26
Na4 0.0000 0.0000 0.5000  6 S 2.95
Ti1 0.0000 0.5000 0.0000  6 S 2.64-2.65
Ac1 0.5000 0.5000 0.5000  6 S 2.94-2.97
Ac2 0.0000 0.5000 0.5000  6 S 2.94-2.97
Ac3 0.5000 0.5000 0.0000  6 S 2.94-2.97
S1 0.7498 0.7490 0.4995  3 Ac 2.94, 3 Na 2.95
S2 0.7761 0.2751 0.9986  1 Ti 2.64, 1 Na 2.95
S3 0.2246 0.7257 0.4492  1 Ti 2.65, 2 Na 2.95
S4 0.2502 0.2510 0.5005  3 Ac 2.94, 3 Na 2.95
S5 0.7775 0.7249 0.0014  1 Ti 2.64, 1 Na 2.95
S6 0.2225 0.2751 0.9986  1 Ti 2.64, 1 Na 2.95
S7 0.2239 0.7249 0.0014  1 Ti 2.64, 1 Na 2.95
S8 0.7754 0.2743 0.5508  1 Ti 2.65, 2 Na 2.95

## NaAcTm2S4 (PBE)

Data for crystalline NaAcTm2S4 at its relaxed geometry.

Values from the calculation:
Uncorrected formation energy = -1.888 eV per atom

abc: 3.9598 7.1418 6.8846
angles: 71.49 90.00 90.00
Last column: nearest neighbours and their distance in Å.
Atoms (fractional coordinates):
S1 0.0000 0.7779 0.7331  3 Tm 2.72-2.78, 1 Na 2.92, 2 Ac 2.99
S2 0.5000 0.7761 0.2454  3 Tm 2.72-2.76, 2 Na 2.95, 1 Ac 2.98
S3 0.5000 0.2239 0.7546  3 Tm 2.72-2.76, 2 Na 2.95, 1 Ac 2.98
S4 0.0000 0.2221 0.2669  3 Tm 2.72-2.78, 1 Na 2.92, 2 Ac 2.99
Na1 0.0000 0.5000 0.5000  6 S 2.92-2.95
Ac1 0.5000 0.5000 0.0000  6 S 2.98-2.99
Tm1 0.5000 0.0000 0.5000  6 S 2.72
Tm2 0.0000 0.0000 0.0000  6 S 2.76-2.78

## Na3AcTm2S6 (PBE)

Data for crystalline Na3AcTm2S6 at its relaxed geometry.

Values from the calculation:
Uncorrected formation energy = -1.821 eV per atom

abc: 7.0720 7.0720 7.1067
angles: 99.59 99.59 120.04
Last column: nearest neighbours and their distance in Å.
Atoms (fractional coordinates):
Tm1 0.3330 0.6670 0.0000  6 S 2.74-2.75
Tm2 0.6670 0.3330 0.0000  6 S 2.74-2.75
S1 0.4323 0.0761 0.2271  2 Tm 2.74, 3 Na 2.85-3.05, 1 Ac 2.94
S2 0.5677 0.9239 0.7729  2 Tm 2.74, 3 Na 2.85-3.05, 1 Ac 2.94
S3 0.0761 0.4323 0.2271  2 Tm 2.74, 3 Na 2.85-3.05, 1 Ac 2.94
S4 0.7205 0.7205 0.2300  2 Tm 2.75, 3 Na 2.85-3.04, 1 Ac 2.95
S5 0.2795 0.2795 0.7700  2 Tm 2.75, 3 Na 2.85-3.04, 1 Ac 2.95
S6 0.9239 0.5677 0.7729  2 Tm 2.74, 3 Na 2.85-3.05, 1 Ac 2.94
Na1 0.8330 0.1670 0.5000  6 S 2.85-3.05
Na2 0.1670 0.8330 0.5000  6 S 2.85-3.05
Na3 0.5000 0.5000 0.5000  6 S 2.85-3.05
Ac1 0.0000 0.0000 0.0000  6 S 2.94-2.95

## NaAcTm4S8 (PBE)

Data for crystalline NaAcTm4S8 at its relaxed geometry.

Values from the calculation:
Uncorrected formation energy = -1.938 eV per atom

abc: 8.0262 8.0262 8.2810
angles: 61.01 61.01 60.00
Last column: nearest neighbours and their distance in Å.
Atoms (fractional coordinates):
Tm1 0.0050 0.0050 0.5043  6 S 2.64-2.85
Tm2 0.4858 0.0050 0.5043  6 S 2.64-2.85
Tm3 0.0050 0.4858 0.5043  6 S 2.64-2.85
Tm4 0.6263 0.6263 0.1211  4 S 2.59-2.70
S1 0.7448 0.2342 0.2763  3 Tm 2.59-2.82
S2 0.7574 0.7574 0.7277  4 Tm 2.70-2.85
S3 0.2521 0.2521 0.7149  2 Tm 2.64, 1 Na 2.71, 1 Ac 2.90
S4 0.7448 0.7448 0.2763  3 Tm 2.59-2.82
S5 0.7809 0.2521 0.7149  2 Tm 2.64, 1 Na 2.71, 1 Ac 2.90
S6 0.2342 0.7448 0.2763  3 Tm 2.59-2.82
S7 0.2373 0.2373 0.2881  3 Tm 2.68, 1 Na 2.77
S8 0.2521 0.7809 0.7149  2 Tm 2.64, 1 Na 2.71, 1 Ac 2.90
Na1 0.3717 0.3717 0.8848  4 S 2.71-2.77
Ac1 0.0027 0.0027 0.9920  6 S 2.90-2.99

Copy entry 12 word for word.
## NaAcTm4S8 (PBE)

Data for crystalline NaAcTm4S8 at its relaxed geometry.

Values from the calculation:
Uncorrected formation energy = -1.938 eV per atom

abc: 8.0262 8.0262 8.2810
angles: 61.01 61.01 60.00
Last column: nearest neighbours and their distance in Å.
Atoms (fractional coordinates):
Tm1 0.0050 0.0050 0.5043  6 S 2.64-2.85
Tm2 0.4858 0.0050 0.5043  6 S 2.64-2.85
Tm3 0.0050 0.4858 0.5043  6 S 2.64-2.85
Tm4 0.6263 0.6263 0.1211  4 S 2.59-2.70
S1 0.7448 0.2342 0.2763  3 Tm 2.59-2.82
S2 0.7574 0.7574 0.7277  4 Tm 2.70-2.85
S3 0.2521 0.2521 0.7149  2 Tm 2.64, 1 Na 2.71, 1 Ac 2.90
S4 0.7448 0.7448 0.2763  3 Tm 2.59-2.82
S5 0.7809 0.2521 0.7149  2 Tm 2.64, 1 Na 2.71, 1 Ac 2.90
S6 0.2342 0.7448 0.2763  3 Tm 2.59-2.82
S7 0.2373 0.2373 0.2881  3 Tm 2.68, 1 Na 2.77
S8 0.2521 0.7809 0.7149  2 Tm 2.64, 1 Na 2.71, 1 Ac 2.90
Na1 0.3717 0.3717 0.8848  4 S 2.71-2.77
Ac1 0.0027 0.0027 0.9920  6 S 2.90-2.99

Question: Which formula does entry 3 have?
Answer: NaSr3Ac2S6

Repeat the seventh record exactly.
## Na3Ac2ThS6 (PBE)

Data for crystalline Na3Ac2ThS6 at its relaxed geometry.

Values from the calculation:
Uncorrected formation energy = -1.729 eV per atom

abc: 4.2348 8.3812 9.3617
angles: 101.23 103.07 90.00
Last column: nearest neighbours and their distance in Å.
Atoms (fractional coordinates):
Ac1 0.1664 0.3310 0.3328  6 S 2.98-3.01
Ac2 0.8336 0.6690 0.6672  6 S 2.98-3.01
S1 0.6583 0.0734 0.3166  1 Th 2.83, 3 Na 2.96-3.15, 2 Ac 3.01
S2 0.9992 0.2295 0.9983  2 Th 2.86, 3 Na 2.94-3.10, 1 Ac 3.00
S3 0.6661 0.5811 0.3322  3 Na 2.97, 3 Ac 2.98-3.00
S4 0.3339 0.4189 0.6678  3 Na 2.97, 3 Ac 2.98-3.00
S5 0.3417 0.9266 0.6834  1 Th 2.83, 3 Na 2.96-3.15, 2 Ac 3.01
S6 0.0008 0.7705 0.0017  2 Th 2.86, 3 Na 2.94-3.10, 1 Ac 3.00
Na1 0.5000 0.5000 0.0000  6 S 2.97-3.10
Na2 0.8345 0.1699 0.6690  6 S 2.94-3.15
Na3 0.1655 0.8301 0.3310  6 S 2.94-3.15
Th1 0.5000 0.0000 0.0000  6 S 2.83-2.86